The following is a DFT calculation (GGA-PBE) of a relaxed structure of NdUN2.

Summary:
Raw formation energy ... -62 kJ/mol of atoms

abc: 3.0278 3.0278 6.1336
angles: 90.00 90.00 90.00
Space group P4/mmm (No. 123)
Symmetry-distinct sites (fractional):
Nd (0.0000, 0.0000, 0.0000) [1 per cell]
U (0.0000, 0.0000, 0.5000) [1 per cell]
N (0.5000, 0.5000, 0.2723) [2 per cell]



The following is a DFT calculation (GGA-PBE) of a relaxed structure of CaZr2Pb.

Summary:
DFT formation energy ... 0.062 eV/atom

abc: 4.5440 4.5440 9.7528
angles: 90.00 90.00 90.00
Space group I-4m2 (No. 119)
Symmetry-distinct sites (fractional):
Ca (0.0000, 0.0000, 0.0000) [2 per cell]
Zr (0.0000, 0.0000, 0.5000) [2 per cell]
Zr (0.0000, 0.5000, 0.2500) [2 per cell]
Pb (0.0000, 0.5000, 0.7500) [2 per cell]



The following is a DFT calculation (GGA-PBE) of a relaxed structure of LaCuTe.

Summary:
Raw formation energy ... -59 kJ/mol of atoms

abc: 4.0958 4.0958 9.5103
angles: 90.00 90.00 90.00
Space group I4mm (No. 107)
Symmetry-distinct sites (fractional):
La (0.0000, 0.0000, 0.0000) [2 per cell]
Cu (0.0000, 0.0000, 0.3336) [2 per cell]
Te (0.0000, 0.0000, 0.6627) [2 per cell]



The following is a DFT calculation (GGA-PBE) of a relaxed structure of Tb3Pm12In.

Summary:
DFT formation energy ... -0.048 eV/atom

abc: 5.0648 5.0648 20.5612
angles: 90.00 90.00 90.00
Space group P4/mmm (No. 123)
Symmetry-distinct sites (fractional):
Tb (0.0000, 0.0000, 0.0000) [1 per cell]
Tb (0.0000, 0.0000, 0.2519) [2 per cell]
Pm (0.0000, 0.5000, 0.1264) [4 per cell]
Pm (0.0000, 0.5000, 0.3794) [4 per cell]
Pm (0.5000, 0.5000, 0.0000) [1 per cell]
Pm (0.5000, 0.5000, 0.2538) [2 per cell]
Pm (0.5000, 0.5000, 0.5000) [1 per cell]
In (0.0000, 0.0000, 0.5000) [1 per cell]



The following is a DFT calculation (GGA-PBE) of a relaxed structure of MgGaReHg2.

Summary:
DFT formation energy ... 1.026 eV/atom

abc: 5.0026 5.0026 4.8619
angles: 90.00 90.00 90.00
Space group P4/mmm (No. 123)
Symmetry-distinct sites (fractional):
Mg (0.0000, 0.0000, 0.0000) [1 per cell]
Ga (0.5000, 0.5000, 0.5000) [1 per cell]
Re (0.5000, 0.5000, 0.0000) [1 per cell]
Hg (0.0000, 0.5000, 0.5000) [2 per cell]



The following is a DFT calculation (GGA-PBE) of a relaxed structure of Ca2TlAsO6.

Summary:
Raw formation energy ... -172 kJ/mol of atoms

abc: 5.3435 5.3435 5.1212
angles: 90.00 90.00 90.00
Space group P4mm (No. 99)
Symmetry-distinct sites (fractional):
Ca (0.0000, 0.5000, 0.0000) [2 per cell]
Tl (0.0000, 0.0000, 0.5375) [1 per cell]
As (0.5000, 0.5000, 0.6079) [1 per cell]
O (0.0000, 0.0000, 0.1303) [1 per cell]
O (0.2708, 0.2708, 0.7275) [4 per cell]
O (0.5000, 0.5000, 0.2689) [1 per cell]



The following is a DFT calculation (GGA-PBE) of a relaxed structure of CaNpSi3.

Summary:
Raw formation energy ... -32 kJ/mol of atoms

abc: 4.1591 24.9005 3.9292
angles: 90.00 90.00 90.00
Space group Cmcm (No. 63)
Symmetry-distinct sites (fractional):
Ca (0.0000, 0.2024, 0.2500) [4 per cell]
Np (0.0000, 0.0677, 0.7500) [4 per cell]
Si (0.0000, 0.3307, 0.2500) [4 per cell]
Si (0.0000, 0.3841, 0.7500) [4 per cell]
Si (0.0000, 0.4764, 0.7500) [4 per cell]



The following is a DFT calculation (GGA-PBE) of a relaxed structure of DyBi2IO4.

Summary:
Raw formation energy ... -186 kJ/mol of atoms

abc: 3.9437 3.9437 9.7476
angles: 90.00 90.00 90.00
Space group P4/mmm (No. 123)
Symmetry-distinct sites (fractional):
Dy (0.0000, 0.0000, 0.0000) [1 per cell]
Bi (0.5000, 0.5000, 0.2553) [2 per cell]
I (0.0000, 0.0000, 0.5000) [1 per cell]
O (0.0000, 0.5000, 0.1414) [4 per cell]



The following is a DFT calculation (GGA-PBE) of a relaxed structure of Sb2AsIr.

Summary:
E above lowest polymorph ... 0.560 eV/atom
Raw formation energy ... 50 kJ/mol of atoms

abc: 3.3130 4.8665 5.1299
angles: 90.00 90.00 90.00
Space group Pmmm (No. 47)
Symmetry-distinct sites (fractional):
Sb (0.0000, 0.0000, 0.0000) [1 per cell]
Sb (0.5000, 0.0000, 0.5000) [1 per cell]
As (0.0000, 0.5000, 0.5000) [1 per cell]
Ir (0.5000, 0.5000, 0.0000) [1 per cell]



The following is a DFT calculation (GGA-PBE) of a relaxed structure of Ho3TmPd.

Summary:
DFT formation energy ... -0.367 eV/atom
E above lowest polymorph ... 0.000 eV/atom

abc: 12.1160 3.6727 13.7452
angles: 90.00 115.68 90.00
Space group Cm (No. 8)
Symmetry-distinct sites (fractional):
Ho (0.0000, 0.0000, 0.0000) [2 per cell]
Ho (0.0248, 0.0000, 0.3617) [2 per cell]
Ho (0.0612, 0.5000, 0.6007) [2 per cell]
Ho (0.1738, 0.5000, 0.8911) [2 per cell]
Ho (0.3274, 0.0000, 0.7625) [2 per cell]
Ho (0.3522, 0.0000, 0.1263) [2 per cell]
Tm (0.1779, 0.5000, 0.2351) [2 per cell]
Tm (0.2901, 0.5000, 0.5222) [2 per cell]
Pd (0.0074, 0.0000, 0.7365) [2 per cell]
Pd (0.3417, 0.0000, 0.3866) [2 per cell]



The following is a DFT calculation (GGA-PBE) of a relaxed structure of K2Ba2NpO6.

Summary:
Raw formation energy ... -241 kJ/mol of atoms

abc: 6.7129 11.2490 6.6678
angles: 90.00 105.06 90.00
Space group C2/m (No. 12)
Symmetry-distinct sites (fractional):
K (0.0000, 0.1505, 0.0000) [4 per cell]
Ba (0.0000, 0.3377, 0.5000) [4 per cell]
Np (0.0000, 0.0000, 0.5000) [2 per cell]
O (0.1768, 0.1377, 0.6748) [8 per cell]
O (0.2041, 0.0000, 0.3117) [4 per cell]



The following is a DFT calculation (GGA-PBE) of a relaxed structure of Al4TcAu.

Summary:
DFT formation energy ... 0.052 eV/atom

abc: 7.1819 7.1819 7.1819
angles: 90.00 90.00 90.00
Space group F-43m (No. 216)
Symmetry-distinct sites (fractional):
Al (0.1250, 0.1250, 0.1250) [16 per cell]
Tc (0.0000, 0.0000, 0.5000) [4 per cell]
Au (0.2500, 0.2500, 0.7500) [4 per cell]



The following is a DFT calculation (GGA-PBE) of a relaxed structure of NaAgSn3.

Summary:
DFT formation energy ... 0.263 eV/atom
E above lowest polymorph ... 0.351 eV/atom

abc: 5.4422 5.4422 5.4422
angles: 90.00 90.00 90.00
Space group Pm-3m (No. 221)
Symmetry-distinct sites (fractional):
Na (0.0000, 0.0000, 0.0000) [1 per cell]
Ag (0.5000, 0.5000, 0.5000) [1 per cell]
Sn (0.0000, 0.5000, 0.5000) [3 per cell]



The following is a DFT calculation (GGA-PBE) of a relaxed structure of MgZr3Mo.

Summary:
DFT formation energy ... 1.580 eV/atom
E above lowest polymorph ... 0.953 eV/atom

abc: 4.9645 4.9645 4.9645
angles: 90.00 90.00 90.00
Space group Pm-3m (No. 221)
Symmetry-distinct sites (fractional):
Mg (0.0000, 0.0000, 0.0000) [1 per cell]
Zr (0.0000, 0.0000, 0.5000) [3 per cell]
Mo (0.5000, 0.5000, 0.5000) [1 per cell]



The following is a DFT calculation (GGA-PBE) of a relaxed structure of Sm2Er4Tm.

Summary:
DFT formation energy ... 0.158 eV/atom
E above lowest polymorph ... 0.017 eV/atom

abc: 3.7042 12.5742 19.3461
angles: 90.00 90.00 90.00
Space group Cmce (No. 64)
Symmetry-distinct sites (fractional):
Sm (0.0000, 0.1102, 0.1688) [8 per cell]
Er (0.0000, 0.1070, 0.6778) [8 per cell]
Er (0.0000, 0.2325, 0.9344) [8 per cell]
Tm (0.0000, 0.0000, 0.5000) [4 per cell]



The following is a DFT calculation (GGA-PBE) of a relaxed structure of Dy3YHo6.

Summary:
DFT formation energy ... 0.123 eV/atom
E above lowest polymorph ... 0.000 eV/atom

abc: 9.5469 20.9240 6.3447
angles: 90.00 90.00 90.00
Space group Cmc2_1 (No. 36)
Symmetry-distinct sites (fractional):
Dy (0.0000, 0.0795, 0.0000) [4 per cell]
Dy (0.1693, 0.3725, 0.3949) [8 per cell]
Y (0.0000, 0.3390, 0.9203) [4 per cell]
Ho (0.0000, 0.1978, 0.6965) [4 per cell]
Ho (0.0000, 0.4858, 0.7211) [4 per cell]
Ho (0.1758, 0.2189, 0.2354) [8 per cell]
Ho (0.1819, 0.0608, 0.4746) [8 per cell]



The following is a DFT calculation (GGA-PBE) of a relaxed structure of Ca8HgN2.

Summary:
Raw formation energy ... -37 kJ/mol of atoms

abc: 13.7218 7.4287 7.7304
angles: 90.00 107.18 90.00
Space group C2/m (No. 12)
Symmetry-distinct sites (fractional):
Ca (0.1216, 0.2253, 0.2594) [8 per cell]
Ca (0.1310, 0.5000, 0.7105) [4 per cell]
Ca (0.1698, 0.0000, 0.8723) [4 per cell]
Hg (0.0000, 0.0000, 0.5000) [2 per cell]
N (0.2020, 0.0000, 0.1695) [4 per cell]



The following is a DFT calculation (GGA-PBE) of a relaxed structure of Cs2CuSi2.

Summary:
E above lowest polymorph ... 0.000 eV/atom
Raw formation energy ... 34 kJ/mol of atoms

abc: 7.3982 7.3982 6.7717
angles: 90.00 90.00 90.00
Space group I4/mmm (No. 139)
Symmetry-distinct sites (fractional):
Cs (0.0000, 0.5000, 0.2500) [4 per cell]
Cu (0.0000, 0.0000, 0.0000) [2 per cell]
Si (0.0000, 0.0000, 0.3382) [4 per cell]



The following is a DFT calculation (GGA-PBE) of a relaxed structure of MnBe3Hg.

Summary:
DFT formation energy ... 0.979 eV/atom
E above lowest polymorph ... 0.000 eV/atom

abc: 4.1499 4.1499 4.1499
angles: 90.00 90.00 90.00
Space group Pm-3m (No. 221)
Symmetry-distinct sites (fractional):
Mn (0.0000, 0.0000, 0.0000) [1 per cell]
Be (0.0000, 0.0000, 0.5000) [3 per cell]
Hg (0.5000, 0.5000, 0.5000) [1 per cell]



The following is a DFT calculation (GGA-PBE) of a relaxed structure of CsTlHgPd.

Summary:
DFT formation energy ... -0.154 eV/atom

abc: 4.8453 4.8453 20.6436
angles: 90.00 90.00 120.00
Space group R3m (No. 160, hexagonal axes)
Symmetry-distinct sites (fractional):
Cs (0.0000, 0.0000, 0.0000) [3 per cell]
Tl (0.0000, 0.0000, 0.8062) [3 per cell]
Hg (0.0000, 0.0000, 0.5422) [3 per cell]
Pd (0.0000, 0.0000, 0.1876) [3 per cell]



Number 1: total magnetic moment 1.75 μB per cell. Number 2: total magnetic moment 0.00 μB per cell. Number 3: total magnetic moment 0.00 μB per cell. Number 4: total magnetic moment 0.00 μB per cell. Number 5: total magnetic moment 2.04 μB per cell. Number 6: total magnetic moment 0.00 μB per cell. Number 7: total magnetic moment 15.75 μB per cell. Number 8: total magnetic moment 0.00 μB per cell. Number 9: total magnetic moment 0.00 μB per cell. Number 10: total magnetic moment 0.00 μB per cell. Number 11: total magnetic moment 2.00 μB per cell. Number 12: total magnetic moment 0.00 μB per cell. Number 13: total magnetic moment 0.00 μB per cell. Number 14: total magnetic moment 1.50 μB per cell. Number 15: total magnetic moment 0.00 μB per cell. Number 16: total magnetic moment 0.00 μB per cell. Number 17: total magnetic moment 0.00 μB per cell. Number 18: total magnetic moment 0.00 μB per cell. Number 19: total magnetic moment 1.79 μB per cell. Number 20: total magnetic moment 0.00 μB per cell.